The following is a PBE calculation of LiTc4Sb after structural relaxation, from the Alexandria database.

* DFT total energy: -7.5457 eV/atom
* total moment: 0.000 μB per atom
* E_form (uncorrected): 0.371 eV/atom
* V: 16.47 Å³ per atom
* DOS at the Fermi energy: 4.7 states/eV per cell

Cell lengths 5.189, 5.189, 5.189 Å; angles 60.00, 60.00, 60.00 degrees
Sites, in units of the cell vectors:
Tc: 0.375 0.875 0.375
Tc: 0.375 0.375 0.875
Tc: 0.875 0.375 0.375
Tc: 0.375 0.375 0.375
Li: 0.750 0.750 0.750
Sb: 0.000 0.000 0.000

The following is a PBE calculation of LiEuThTl after structural relaxation, from the Alexandria database.

* energy of formation from the pure elements: -0.68 kJ/mol of atoms
* DFT total energy: -5.5007 eV/atom
* total moment: 1.925 μB per atom
* V: 29.02 Å³ per atom
* DOS at the Fermi energy: 8.5 states/eV per cell

Cell lengths 5.475, 5.475, 5.475 Å; angles 60.00, 60.00, 60.00 degrees
Site moments in Bohr magnetons follow the coordinates.
Sites, in units of the cell vectors:
Th: 0.250 0.250 0.250  -0.22
Eu: 0.750 0.750 0.750  -6.90
Li: 0.000 0.000 0.000  -0.01
Tl: 0.500 0.500 0.500  0.02

The following is a PBE calculation of ZnBN2 after structural relaxation, from the Alexandria database.

* DFT total energy: -6.3223 eV/atom
* excess energy over the best structure of this formula in the dataset: 0.000 eV/f.u.
* total moment: 0.001 μB per atom
* E_form (uncorrected): -0.172 eV/atom
* V: 8.46 Å³ per atom
* DOS at the Fermi energy: 5.9 states/eV per cell

Cell lengths 4.295, 4.295, 4.761 Å; angles 63.19, 63.19, 90.00 degrees
Sites, in units of the cell vectors:
B: 0.250 0.750 0.500
B: 0.500 0.500 0.000
Zn: 0.750 0.250 0.500
Zn: 0.000 0.000 0.000
N: 0.541 0.125 0.250
N: 0.375 0.459 0.750
N: 0.209 0.625 0.250
N: 0.875 0.791 0.750

The following is a PBE calculation of ErGaPb after structural relaxation, from the Alexandria database.

* energy of formation from the pure elements: -21.93 kJ/mol of atoms
* DFT total energy: -3.9933 eV/atom
* excess energy over the best structure of this formula in the dataset: 0.413 eV/f.u.
* total moment: 0.000 μB per atom
* V: 25.05 Å³ per atom
* DOS at the Fermi energy: 2.4 states/eV per cell

Cell lengths 3.636, 3.636, 6.240 Å; angles 106.94, 106.94, 90.00 degrees
Sites, in units of the cell vectors:
Ga: 0.617 0.617 0.233
Pb: 0.966 0.966 0.933
Er: 0.267 0.267 0.534

The following is a PBE calculation of Rb3BaI after structural relaxation, from the Alexandria database.

* DFT total energy: -1.6489 eV/atom
* excess energy over the best structure of this formula in the dataset: 0.000 eV/f.u.
* total moment: 0.276 μB per atom
* E_form (uncorrected): -0.374 eV/atom
* V: 76.06 Å³ per atom
* DOS at the Fermi energy: 7.4 states/eV per cell

Cell lengths 7.245, 7.245, 7.245 Å; angles 90.00, 90.00, 90.00 degrees
Site moments in Bohr magnetons follow the coordinates.
Sites, in units of the cell vectors:
Rb: 0.500 0.000 0.000  0.01
Rb: 0.000 0.000 0.500  0.02
Rb: 0.000 0.500 0.000  0.01
Ba: 0.500 0.500 0.500  0.13
I: 0.000 0.000 0.000  0.02

The following is a PBE calculation of AcSmSnN3 after structural relaxation, from the Alexandria database.

* DFT total energy: -6.9129 eV/atom
* total moment: 0.041 μB per atom
* E_form (uncorrected): -0.612 eV/atom
* V: 19.57 Å³ per atom
* DOS at the Fermi energy: 6.2 states/eV per cell

Cell lengths 3.594, 7.646, 8.551 Å; angles 92.23, 90.00, 90.00 degrees
Sites, in units of the cell vectors:
N: 0.250 0.871 0.565
N: 0.250 0.608 0.880
N: 0.750 0.129 0.435
N: 0.750 0.392 0.120
N: 0.250 0.134 0.853
N: 0.750 0.866 0.147
Sn: 0.250 0.162 0.587
Sn: 0.750 0.838 0.413
Sm: 0.750 0.381 0.858
Sm: 0.250 0.619 0.142
Ac: 0.750 0.851 0.823
Ac: 0.250 0.149 0.177

The following is a PBE calculation of LaPrAuBr after structural relaxation, from the Alexandria database.

* DFT total energy: -4.6703 eV/atom
* excess energy over the best structure of this formula in the dataset: 0.000 eV/f.u.
* total moment: 0.000 μB per atom
* E_form (uncorrected): -1.006 eV/atom
* V: 30.43 Å³ per atom
* DOS at the Fermi energy: 2.8 states/eV per cell

Cell lengths 4.389, 4.389, 7.725 Å; angles 73.50, 73.50, 60.00 degrees
Sites, in units of the cell vectors:
Au: 0.194 0.194 0.419
Pr: 0.450 0.450 0.649
Br: 0.695 0.695 0.916
La: 0.938 0.938 0.186

The following is a PBE calculation of La2SiAs after structural relaxation, from the Alexandria database.

* DFT total energy: -5.7986 eV/atom
* excess energy over the best structure of this formula in the dataset: 1.269 eV/f.u.
* total moment: 0.000 μB per atom
* E_form (uncorrected): -0.817 eV/atom
* V: 25.39 Å³ per atom
* DOS at the Fermi energy: 3.2 states/eV per cell

Cell lengths 5.122, 5.122, 5.122 Å; angles 114.23, 114.21, 100.34 degrees
Sites, in units of the cell vectors:
La: 0.500 0.500 0.000
La: 0.000 0.000 0.000
Si: 0.750 0.250 0.500
As: 0.250 0.750 0.500

The following is a PBE calculation of Cu4NiPd2 after structural relaxation, from the Alexandria database.

* energy of formation from the pure elements: 9.85 kJ/mol of atoms
* DFT total energy: -4.5481 eV/atom
* excess energy over the best structure of this formula in the dataset: 0.559 eV/f.u.
* total moment: 0.000 μB per atom
* V: 13.50 Å³ per atom
* DOS at the Fermi energy: 8.0 states/eV per cell

Cell lengths 4.180, 4.146, 12.628 Å; angles 90.00, 90.00, 120.27 degrees
Sites, in units of the cell vectors:
Cu: 0.845 0.690 0.750
Cu: 0.174 0.348 0.847
Cu: 0.155 0.310 0.250
Cu: 0.826 0.652 0.347
Cu: 0.500 0.000 0.000
Cu: 0.500 0.000 0.500
Cu: 0.174 0.348 0.653
Cu: 0.826 0.652 0.153
Pd: 0.166 0.331 0.442
Pd: 0.166 0.331 0.058
Pd: 0.834 0.669 0.558
Pd: 0.834 0.669 0.942
Ni: 0.490 0.980 0.250
Ni: 0.510 0.020 0.750

The following is a PBE calculation of K2As2O after structural relaxation, from the Alexandria database.

* DFT total energy: -3.5590 eV/atom
* excess energy over the best structure of this formula in the dataset: 0.000 eV/f.u.
* total moment: 0.000 μB per atom
* E_form (uncorrected): -0.269 eV/atom
* V: 28.12 Å³ per atom
* DOS at the Fermi energy: 4.3 states/eV per cell

Cell lengths 6.551, 6.551, 5.673 Å; angles 54.73, 54.73, 90.00 degrees
Sites, in units of the cell vectors:
As: 0.308 0.308 0.385
As: 0.692 0.692 0.615
O: 0.000 0.000 0.000
K: 0.250 0.750 0.500
K: 0.750 0.250 0.500

The following is a PBE calculation of Sr2SiIr after structural relaxation, from the Alexandria database.

* DFT total energy: -4.7920 eV/atom
* total moment: 0.000 μB per atom
* E_form (uncorrected): -0.380 eV/atom
* V: 26.46 Å³ per atom
* DOS at the Fermi energy: 1.5 states/eV per cell

Cell lengths 6.063, 6.063, 5.207 Å; angles 64.58, 64.58, 38.37 degrees
Sites, in units of the cell vectors:
Ir: 0.427 0.427 0.573
Sr: 0.029 0.029 0.971
Sr: 0.229 0.229 0.271
Si: 0.815 0.815 0.684

The following is a PBE calculation of Tm2CdOsC after structural relaxation, from the Alexandria database.

* energy of formation from the pure elements: -40.56 kJ/mol of atoms
* DFT total energy: -6.4827 eV/atom
* total moment: 0.000 μB per atom
* V: 19.07 Å³ per atom
* DOS at the Fermi energy: 1.2 states/eV per cell

Cell lengths 3.931, 4.925, 4.925 Å; angles 90.00, 90.00, 90.00 degrees
Sites, in units of the cell vectors:
Tm: 0.000 0.500 0.000
Tm: 0.000 0.000 0.500
C: 0.000 0.000 0.000
Cd: 0.500 0.500 0.500
Os: 0.500 0.000 0.000